This record from Alexandria via LeMat-Bulk describes an optimized crystal structure of Nd3SeBr7. The functional is GGA-PBE.

a = 8.686 Å, b = 8.686 Å, c = 7.028 Å
α = 90.00°, β = 90.00°, γ = 120.00°
Fractional coordinates of all 11 atoms:
Nd 0.012 0.506 0.000
Nd 0.494 0.506 0.000
Nd 0.494 0.988 0.000
Se 0.333 0.667 0.782
Br 0.174 0.348 0.235
Br 0.174 0.826 0.235
Br 0.351 0.175 0.784
Br 0.652 0.826 0.235
Br 0.667 0.333 0.239
Br 0.825 0.175 0.784
Br 0.825 0.649 0.784

Computed properties:
**Formation energy from raw total energies**: -1850 meV per atom
**VASP energy**: -4.5312 eV/atom
**Theoretical density**: 3.873 Mg/m³